Computed, not measured: a relaxed structure of PuUCo3 at the GGA-PBE level of DFT.

The total energy comes out at -9.391 eV/atom. For the density, the calculation gives 13.49 Mg/m³. The calculation puts the density of states at the Fermi level at 2.228 states/eV/atom. The calculated formation energy comes out at 0.00 eV per atom.

The structure belongs to space group I4mm (No. 107); the cell edges are 3.929, 3.929 and 10.505 Å and the angles 90.00°, 90.00° and 90.00°. Symmetry generates all atoms from Pu at (0.000, 0.000, 0.000), U at (0.000, 0.000, 0.644), Co at (0.000, 0.000, 0.431) and Co at (0.000, 0.500, 0.291).